(1)
Computed, not measured: crystalline Be3Cu4 at its relaxed geometry at the PBE level of DFT.

space-group type: P-43m
size of the total moment: 0.00 μB/cell
energy relative to the lowest polymorph listed for this composition: 17.65 kcal/mol of atoms
crystal system: cubic

Unit cell a=4.5570 b=4.5570 c=4.5570 alpha=90.00 beta=90.00 gamma=90.00
With the nearest neighbours (Å) after each atom.
Sites, in units of the cell vectors:
Be: 0.0000 0.0000 0.5000  4 Cu 2.17
Be: 0.0000 0.5000 0.0000  4 Cu 2.17
Be: 0.5000 0.0000 0.0000  4 Cu 2.17
Cu: 0.3085 0.3085 0.3085  3 Be 2.17
Cu: 0.3085 0.6915 0.6915  3 Be 2.17
Cu: 0.6915 0.3085 0.6915  3 Be 2.17
Cu: 0.6915 0.6915 0.3085  3 Be 2.17



(2)
Computed, not measured: crystalline La3Sm4Dy2 at its relaxed geometry at the PBE level of DFT.

space-group type: C2/m
size of the total moment: 0.00 μB/cell
energy relative to the lowest polymorph listed for this composition: 0.00 kcal/mol of atoms
crystal system: monoclinic

Unit cell a=6.3484 b=6.3484 c=14.9856 alpha=110.61 beta=110.61 gamma=33.46
With the nearest neighbours (Å) after each atom.
Sites, in units of the cell vectors:
La: 0.0000 0.0000 0.0000  4 Dy 3.62, 6 Sm 3.64-3.68, 2 La 3.65
La: 0.1099 0.1099 0.4430  2 Dy 3.64, 5 Sm 3.65-3.69, 5 La 3.65-3.69
La: 0.8901 0.8901 0.5570  2 Dy 3.64, 5 Sm 3.65-3.69, 5 La 3.65-3.69
Sm: 0.2204 0.2204 0.8887  6 Sm 3.60-3.65, 3 Dy 3.63-3.67, 3 La 3.64-3.68
Sm: 0.3295 0.3295 0.3300  4 Sm 3.60-3.65, 3 Dy 3.63-3.67, 5 La 3.65-3.69
Sm: 0.6705 0.6705 0.6700  4 Sm 3.60-3.65, 3 Dy 3.63-3.67, 5 La 3.65-3.69
Sm: 0.7796 0.7796 0.1113  6 Sm 3.60-3.65, 3 Dy 3.63-3.67, 3 La 3.64-3.68
Dy: 0.4454 0.4454 0.7793  4 La 3.62-3.64, 6 Sm 3.63-3.67, 2 Dy 3.65
Dy: 0.5546 0.5546 0.2207  4 La 3.62-3.64, 6 Sm 3.63-3.67, 2 Dy 3.65



(3)
Computed, not measured: crystalline CeInGaI6 at its relaxed geometry at the PBE level of DFT.

space-group type: P4_2nm
size of the total moment: 0.23 μB/cell
VASP energy: -3.15 eV per atom
crystal system: tetragonal

Unit cell a=7.6833 b=7.6833 c=14.2288 alpha=90.00 beta=90.00 gamma=90.00
With the nearest neighbours (Å) after each atom.
Sites, in units of the cell vectors:
Ce: 0.0000 0.0000 0.0000  6 I 3.04-3.07
Ce: 0.5000 0.5000 0.5000  6 I 3.04-3.07
In: 0.0000 0.0000 0.6654  6 I 3.33-3.40
In: 0.5000 0.5000 0.1654  6 I 3.33-3.40
Ga: 0.0000 0.0000 0.3295  6 I 3.15-3.36
Ga: 0.5000 0.5000 0.8295  6 I 3.15-3.36
I: 0.1876 0.1876 0.1609  1 Ce 3.07, 1 Ga 3.15, 1 In 3.40
I: 0.1956 0.1956 0.8454  1 Ce 3.06, 1 Ga 3.32, 1 In 3.33
I: 0.2199 0.2199 0.4950  1 Ce 3.04, 1 Ga 3.36, 1 In 3.40
I: 0.2801 0.7199 0.9950  1 Ce 3.04, 1 Ga 3.36, 1 In 3.40
I: 0.3044 0.6956 0.3454  1 Ce 3.06, 1 Ga 3.32, 1 In 3.33
I: 0.3124 0.6876 0.6609  1 Ce 3.07, 1 Ga 3.15, 1 In 3.40
I: 0.6876 0.3124 0.6609  1 Ce 3.07, 1 Ga 3.15, 1 In 3.40
I: 0.6956 0.3044 0.3454  1 Ce 3.06, 1 Ga 3.32, 1 In 3.33
I: 0.7199 0.2801 0.9950  1 Ce 3.04, 1 Ga 3.36, 1 In 3.40
I: 0.7801 0.7801 0.4950  1 Ce 3.04, 1 Ga 3.36, 1 In 3.40
I: 0.8044 0.8044 0.8454  1 Ce 3.06, 1 Ga 3.32, 1 In 3.33
I: 0.8124 0.8124 0.1609  1 Ce 3.07, 1 Ga 3.15, 1 In 3.40



(4)
Computed, not measured: crystalline KSc2TaPb at its relaxed geometry at the PBE level of DFT.

space-group type: P4/mmm
size of the total moment: 0.00 μB/cell
VASP energy: -4.84 eV per atom
crystal system: tetragonal

Unit cell a=5.2060 b=5.2060 c=5.9055 alpha=90.00 beta=90.00 gamma=90.00
With the nearest neighbours (Å) after each atom.
Sites, in units of the cell vectors:
K: 0.0000 0.0000 0.0000  2 Ta 2.95
Sc: 0.0000 0.5000 0.5000  2 Ta 2.60
Sc: 0.5000 0.0000 0.5000  2 Ta 2.60
Ta: 0.0000 0.0000 0.5000  4 Sc 2.60
Pb: 0.5000 0.5000 0.0000  4 K 3.68, 8 Sc 3.94



(5)
Computed, not measured: crystalline Zr2Mo3 at its relaxed geometry at the PBE level of DFT.

space-group type: R-3m
size of the total moment: 0.00 μB/cell
energy relative to the lowest polymorph listed for this composition: 2.13 kcal/mol of atoms
crystal system: trigonal

Unit cell a=10.9170 b=10.9170 c=10.9170 alpha=16.69 beta=16.69 gamma=16.69
With the nearest neighbours (Å) after each atom.
Sites, in units of the cell vectors:
Zr: 0.1008 0.1008 0.1008  6 Mo 2.81-2.97
Zr: 0.8992 0.8992 0.8992  6 Mo 2.81-2.97
Mo: 0.3049 0.3049 0.3049  3 Mo 2.59
Mo: 0.5000 0.5000 0.5000  6 Zr 2.81
Mo: 0.6951 0.6951 0.6951  3 Mo 2.59



(6)
Computed, not measured: crystalline Cr2GaTe at its relaxed geometry at the PBE level of DFT.

space-group type: I-42d
size of the total moment: 0.00 μB/cell
energy relative to the lowest polymorph listed for this composition: 5.08 kcal/mol of atoms
crystal system: tetragonal

Unit cell a=9.2298 b=9.2298 c=9.2298 alpha=155.04 beta=155.04 gamma=35.59
With the nearest neighbours (Å) after each atom.
Sites, in units of the cell vectors:
Cr: 0.0381 0.6250 0.9131  2 Cr 2.38, 2 Ga 2.50
Cr: 0.3750 0.2881 0.4131  2 Cr 2.38, 2 Ga 2.50
Cr: 0.7119 0.1250 0.0869  2 Cr 2.38, 2 Ga 2.50
Cr: 0.8750 0.9619 0.5869  2 Cr 2.38, 2 Ga 2.50
Ga: 0.0000 0.0000 0.0000  4 Cr 2.50
Ga: 0.7500 0.2500 0.5000  4 Cr 2.50
Te: 0.2500 0.7500 0.5000  4 Cr 2.76, 4 Ga 2.82
Te: 0.5000 0.5000 0.0000  4 Cr 2.76, 4 Ga 2.82



> What is the size of the total moment in the third record?

0.23 μB/cell